A:
This record from Alexandria describes a relaxed MnReOs2 crystal. The functional is PBEsol.

a = 2.682 Å, b = 2.682 Å, c = 8.800 Å
α = 81.24°, β = 81.24°, γ = 60.00°
Element x y z (fractional)
Mn (0.251, 0.251, 0.246)
Os (0.996, 0.996, 0.013)
Os (0.750, 0.750, 0.749)
Re (0.502, 0.502, 0.493)

Properties
- SG = No. 160
- volume (Å³/cell) = 54

***

B:
This record from Alexandria describes a relaxed MnReOs2 crystal. The functional is PBEsol.

a = 3.769 Å, b = 3.769 Å, c = 4.628 Å
α = 114.03°, β = 114.03°, γ = 90.00°
Element x y z (fractional)
Mn (0.250, 0.750, 0.500)
Os (0.000, 0.000, 0.000)
Os (0.750, 0.250, 0.500)
Re (0.500, 0.500, 0.000)

Properties
- SG = No. 119
- volume (Å³/cell) = 54

***

C:
This record from Alexandria describes a relaxed MnReOs2 crystal. The functional is PBEsol.

a = 2.693 Å, b = 4.612 Å, c = 4.612 Å
α = 109.11°, β = 90.00°, γ = 90.00°
Element x y z (fractional)
Mn (0.500, 0.500, 0.500)
Os (0.000, 0.500, 0.000)
Os (0.000, 0.000, 0.500)
Re (0.500, 0.000, 0.000)

Properties
- SG = No. 65
- volume (Å³/cell) = 54

***

B is the most stable structure shown above.